1.
The following is a PBE calculation of a relaxed Rb2HgAu crystal, from Alexandria via LeMat-Bulk.

Output
symmetry: No. 38

abc: 4.9729 5.1664 6.9073
angles: 111.96 90.00 90.00
With the nearest neighbours (Å) after each atom.
Fractional coordinates of all 4 atoms:
Rb (0.5000, 0.2681, 0.5363)  3 Au 3.69-3.77, 4 Hg 3.73
Rb (0.0000, 0.9823, 0.9647)  3 Hg 3.68-3.79, 4 Au 3.73
Au (0.5000, 0.5621, 0.1243)  2 Hg 2.95
Hg (0.0000, 0.6866, 0.3733)  2 Au 2.95

---

2.
The following is a PBE calculation of a relaxed Rb4Hg4Au crystal, from Alexandria via LeMat-Bulk.

Output
symmetry: No. 86

abc: 7.3909 10.1994 10.1994
angles: 90.00 90.00 90.00
With the nearest neighbours (Å) after each atom.
Fractional coordinates of all 18 atoms:
Rb (0.0778, 0.9807, 0.3151)  5 Hg 3.64-3.97, 1 Au 3.72, 1 Rb 3.96
Rb (0.0778, 0.5193, 0.1849)  5 Hg 3.64-3.97, 1 Au 3.72, 1 Rb 3.96
Rb (0.4222, 0.3151, 0.5193)  5 Hg 3.64-3.97, 1 Au 3.72, 1 Rb 3.96
Rb (0.4222, 0.1849, 0.9807)  5 Hg 3.64-3.97, 1 Au 3.72, 1 Rb 3.96
Rb (0.5778, 0.8151, 0.0193)  5 Hg 3.64-3.97, 1 Au 3.72, 1 Rb 3.96
Rb (0.9222, 0.4807, 0.8151)  5 Hg 3.64-3.97, 1 Au 3.72, 1 Rb 3.96
Rb (0.9222, 0.0193, 0.6849)  5 Hg 3.64-3.97, 1 Au 3.72, 1 Rb 3.96
Rb (0.5778, 0.6849, 0.4807)  5 Hg 3.64-3.97, 1 Au 3.72, 1 Rb 3.96
Hg (0.9259, 0.3517, 0.4824)  1 Au 2.90, 1 Hg 3.24
Hg (0.9259, 0.1483, 0.0176)  1 Au 2.90, 1 Hg 3.24
Hg (0.5741, 0.0176, 0.3517)  1 Au 2.90, 1 Hg 3.24
Hg (0.4259, 0.5176, 0.8517)  1 Au 2.90, 1 Hg 3.24
Hg (0.4259, 0.9824, 0.6483)  1 Au 2.90, 1 Hg 3.24
Hg (0.0741, 0.8517, 0.9824)  1 Au 2.90, 1 Hg 3.24
Hg (0.5741, 0.4824, 0.1483)  1 Au 2.90, 1 Hg 3.24
Hg (0.0741, 0.6483, 0.5176)  1 Au 2.90, 1 Hg 3.24
Au (0.2500, 0.7500, 0.7500)  4 Hg 2.90
Au (0.7500, 0.2500, 0.2500)  4 Hg 2.90

---

3.
The following is a PBE calculation of a relaxed Rb5Hg4Au2 crystal, from Alexandria via LeMat-Bulk.

Output
symmetry: No. 12

abc: 5.1492 9.2296 12.4566
angles: 111.96 101.93 90.00
With the nearest neighbours (Å) after each atom.
Fractional coordinates of all 11 atoms:
Rb (0.2278, 0.2094, 0.4556)  4 Hg 3.66-3.95
Rb (0.0826, 0.4646, 0.1652)  4 Au 3.58-3.69, 2 Hg 3.70-3.80
Rb (0.7722, 0.7906, 0.5444)  4 Hg 3.66-3.95
Rb (0.9174, 0.5354, 0.8348)  4 Au 3.58-3.69, 2 Hg 3.70-3.80
Rb (0.5000, 0.0000, 0.0000)  2 Au 3.56, 6 Hg 3.66-3.94
Hg (0.9276, 0.1460, 0.8551)  2 Au 3.07, 2 Hg 3.09
Hg (0.0724, 0.8540, 0.1449)  2 Au 3.07, 2 Hg 3.09
Hg (0.6486, 0.9242, 0.2973)  1 Au 2.91, 2 Hg 3.09
Hg (0.3514, 0.0758, 0.7027)  1 Au 2.91, 2 Hg 3.09
Au (0.4652, 0.3407, 0.9303)  1 Au 2.78, 3 Hg 2.91-3.07
Au (0.5348, 0.6593, 0.0697)  1 Au 2.78, 3 Hg 2.91-3.07

---

4.
The following is a PBE calculation of a relaxed Rb3HgAu crystal, from Alexandria via LeMat-Bulk.

Output
symmetry: No. 59

abc: 5.2421 7.9581 11.1748
angles: 90.00 90.00 90.00
With the nearest neighbours (Å) after each atom.
Fractional coordinates of all 10 atoms:
Rb (0.7500, 0.2337, 0.4488)  3 Au 3.69-4.11, 2 Hg 3.76
Rb (0.2500, 0.7664, 0.9488)  3 Au 3.69-4.11, 2 Hg 3.76
Rb (0.7500, 0.7601, 0.2501)  2 Au 3.56, 2 Hg 3.73
Rb (0.2500, 0.7663, 0.5512)  3 Au 3.69-4.11, 2 Hg 3.76
Rb (0.7500, 0.2336, 0.0512)  3 Au 3.69-4.11, 2 Hg 3.76
Rb (0.2500, 0.2399, 0.7499)  2 Au 3.56, 2 Hg 3.73
Au (0.7500, 0.9366, 0.7500)  1 Hg 2.89
Au (0.2500, 0.0634, 0.2500)  1 Hg 2.89
Hg (0.2500, 0.4265, 0.2500)  1 Au 2.89
Hg (0.7500, 0.5735, 0.7500)  1 Au 2.89

---

Results for Fermi-level density of states: 0.447; 0.291; 0.540; 0.340 (in states/eV per atom, following the order of the records).
Results for energy relative to the elements: -0.2854; -0.2329; -0.2129; -0.2270 (in eV/atom, following the order of the records).